1.
This record from Alexandria describes a relaxed CeAgBiAu crystal. The functional is PBE. Values from VASP.

Results
The value obtained for the volume is 97.58 Å³/cell. For the calculated total energy, the calculation gives -4.386 eV per atom. As for the crystal system: cubic.

Quantum ESPRESSO input file:
```
&SYSTEM
  ibrav = 0, nat = 4, ntyp = 4
/
ATOMIC_SPECIES
Ag 107.87 Ag.upf
Au 196.97 Au.upf
Bi 208.98 Bi.upf
Ce 140.12 Ce.upf
CELL_PARAMETERS angstrom
-2.9550 -2.1621 -3.6465
-2.8245 -4.1832 1.1076
-5.1465 0.3612 0.2948
ATOMIC_POSITIONS crystal
Ag 0.2500 0.2500 0.2500
Au 0.7500 0.7500 0.7500
Bi 0.5000 0.5000 0.5000
Ce 0.0000 0.0000 0.0000
```


2.
This record from Alexandria describes a relaxed Ag2RhSe crystal. The functional is PBE. Values from VASP.

Results
For the energy relative to the elements, uncorrected, the calculation gives 28.7 kJ/mol of atoms. The value obtained for the volume is 72.24 Å³/cell. As for the crystal system: tetragonal.

Quantum ESPRESSO input file:
```
&SYSTEM
  ibrav = 0, nat = 4, ntyp = 3
/
ATOMIC_SPECIES
Ag 107.87 Ag.upf
Rh 102.91 Rh.upf
Se 78.96 Se.upf
CELL_PARAMETERS angstrom
-1.8341 1.0485 1.8660
0.6364 -2.0791 1.7938
6.5916 5.1235 3.6000
ATOMIC_POSITIONS crystal
Ag 0.0000 0.0000 0.0216
Ag 0.0000 0.0000 0.4784
Rh 0.5000 0.5000 0.2500
Se 0.5000 0.5000 0.7500
```


3.
This record from Alexandria describes a relaxed TaCoRe2 crystal. The functional is PBE. Values from VASP.

Results
The value obtained for the volume is 59.12 Å³/cell. For the calculated total energy, the calculation gives -10.889 eV per atom. As for the crystal system: monoclinic.

Quantum ESPRESSO input file:
```
&SYSTEM
  ibrav = 0, nat = 4, ntyp = 3
/
ATOMIC_SPECIES
Co 58.93 Co.upf
Re 186.21 Re.upf
Ta 180.95 Ta.upf
CELL_PARAMETERS angstrom
-4.0264 2.2516 -1.0406
-4.3447 -0.4088 -1.8223
-2.4781 -0.8719 3.9766
ATOMIC_POSITIONS crystal
Co 0.2550 0.2550 0.2493
Re 0.9914 0.9914 0.9981
Re 0.7457 0.7457 0.7721
Ta 0.5079 0.5079 0.4805
```


4.
This record from Alexandria describes a relaxed SnSb2Se2 crystal. The functional is PBE. Values from VASP.

Results
For the energy relative to the elements, uncorrected, the calculation gives 4.6 kJ/mol of atoms. The value obtained for the volume is 272.66 Å³/cell. As for the crystal system: tetragonal.

Quantum ESPRESSO input file:
```
&SYSTEM
  ibrav = 0, nat = 10, ntyp = 3
/
ATOMIC_SPECIES
Sb 121.76 Sb.upf
Sn 118.71 Sn.upf
Se 78.96 Se.upf
CELL_PARAMETERS angstrom
-5.7138 -2.7633 -5.7401
6.3490 -3.1044 -4.8255
-0.2280 -3.2547 1.7938
ATOMIC_POSITIONS crystal
Sb 0.1904 0.6904 0.5000
Sb 0.6904 0.8096 0.5000
Sb 0.8096 0.3096 0.5000
Sb 0.3096 0.1904 0.5000
Sn 0.0000 0.0000 0.0000
Sn 0.5000 0.5000 0.0000
Se 0.3549 0.8549 0.0000
Se 0.8549 0.6451 0.0000
Se 0.6451 0.1451 0.0000
Se 0.1451 0.3549 0.0000
```


5.
This record from Alexandria describes a relaxed La5Cu crystal. The functional is PBE. Values from VASP.

Results
The value obtained for the volume is 195.15 Å³/cell. For the calculated total energy, the calculation gives -4.829 eV per atom. As for the crystal system: tetragonal.

Quantum ESPRESSO input file:
```
&SYSTEM
  ibrav = 0, nat = 6, ntyp = 2
/
ATOMIC_SPECIES
Cu 63.55 Cu.upf
La 138.91 La.upf
CELL_PARAMETERS angstrom
14.1669 0.0000 0.0000
0.0000 3.7114 0.0000
0.0000 0.0000 3.7114
ATOMIC_POSITIONS crystal
Cu 0.8333 0.5000 0.5000
La 0.9563 0.0000 0.0000
La 0.1481 0.5000 0.5000
La 0.3333 0.0000 0.0000
La 0.5186 0.5000 0.5000
La 0.7103 0.0000 0.0000
```


6.
This record from Alexandria describes a relaxed LaCr2Cd2 crystal. The functional is PBE. Values from VASP.

Results
The value obtained for the volume is 108.15 Å³/cell. For the calculated total energy, the calculation gives -4.912 eV per atom. As for the crystal system: tetragonal.

Quantum ESPRESSO input file:
```
&SYSTEM
  ibrav = 0, nat = 5, ntyp = 3
/
ATOMIC_SPECIES
Cr 52.00 Cr.upf
Cd 112.41 Cd.upf
La 138.91 La.upf
CELL_PARAMETERS angstrom
-2.3198 3.6873 -1.0608
-2.9115 -2.4990 -2.3197
-5.6141 -0.0194 2.7342
ATOMIC_POSITIONS crystal
Cr 0.4157 0.4157 0.1686
Cr 0.5843 0.5843 0.8314
Cd 0.7500 0.2500 0.5000
Cd 0.2500 0.7500 0.5000
La 0.0000 0.0000 0.0000
```


7.
This record from Alexandria describes a relaxed LiMnPt2 crystal. The functional is PBE. Values from VASP.

Results
The value obtained for the volume is 58.27 Å³/cell. For the calculated total energy, the calculation gives -6.191 eV per atom. As for the crystal system: monoclinic.

Quantum ESPRESSO input file:
```
&SYSTEM
  ibrav = 0, nat = 4, ntyp = 3
/
ATOMIC_SPECIES
Li 6.94 Li.upf
Mn 54.94 Mn.upf
Pt 195.08 Pt.upf
CELL_PARAMETERS angstrom
5.0350 0.0344 0.4856
4.2315 2.7289 0.4856
1.1390 0.3397 4.4055
ATOMIC_POSITIONS crystal
Li 0.5072 0.5072 0.4200
Mn 0.7410 0.7410 0.8333
Pt 0.9986 0.9986 0.9165
Pt 0.2532 0.2532 0.3302
```


8.
This record from Alexandria describes a relaxed BaAc4Pb3O12 crystal. The functional is PBE. Values from VASP.

Results
For the energy relative to the elements, uncorrected, the calculation gives -207.1 kJ/mol of atoms. The value obtained for the volume is 387.22 Å³/cell. As for the crystal system: cubic.

Quantum ESPRESSO input file:
```
&SYSTEM
  ibrav = 0, nat = 20, ntyp = 4
/
ATOMIC_SPECIES
Ba 137.33 Ba.upf
Ac 227.00 Ac.upf
Pb 207.20 Pb.upf
O 16.00 O.upf
CELL_PARAMETERS angstrom
-2.8896 -3.5241 6.5177
6.9720 -3.3037 -1.9300
1.0442 7.7549 1.4212
ATOMIC_POSITIONS crystal
Ba 0.0000 0.0000 0.0000
Ac 0.5000 0.0000 0.0000
Ac 0.5000 0.5000 0.5000
Ac 0.0000 0.5000 0.0000
Ac 0.0000 0.0000 0.5000
Pb 0.0000 0.5000 0.5000
Pb 0.5000 0.5000 0.0000
Pb 0.5000 0.0000 0.5000
O 0.3147 0.8373 0.1520
O 0.6853 0.1627 0.8480
O 0.6853 0.8373 0.5226
O 0.8480 0.6853 0.1627
O 0.8373 0.1520 0.3147
O 0.1627 0.4774 0.3147
O 0.4774 0.3147 0.1627
O 0.1627 0.8480 0.6853
O 0.3147 0.1627 0.4774
O 0.1520 0.3147 0.8373
O 0.8373 0.5226 0.6853
O 0.5226 0.6853 0.8373
```


9.
This record from Alexandria describes a relaxed TiCdTe2N crystal. The functional is PBE. Values from VASP.

Results
For the energy relative to the elements, uncorrected, the calculation gives 99.4 kJ/mol of atoms. The value obtained for the volume is 131.95 Å³/cell. As for the crystal system: tetragonal.

Quantum ESPRESSO input file:
```
&SYSTEM
  ibrav = 0, nat = 5, ntyp = 4
/
ATOMIC_SPECIES
N 14.01 N.upf
Te 127.60 Te.upf
Ti 47.87 Ti.upf
Cd 112.41 Cd.upf
CELL_PARAMETERS angstrom
-0.9254 -5.4341 -1.3949
4.8440 -0.0607 -2.9771
2.0315 -1.2007 3.3299
ATOMIC_POSITIONS crystal
N 0.0000 0.0000 0.5000
Te 0.0000 0.5000 0.0000
Te 0.5000 0.0000 0.0000
Ti 0.5000 0.5000 0.5000
Cd 0.0000 0.0000 0.0000
```


10.
This record from Alexandria describes a relaxed Ac6Ni3Au crystal. The functional is PBE. Values from VASP.

Results
The value obtained for the volume is 657.81 Å³/cell. For the calculated total energy, the calculation gives -4.821 eV per atom. As for the crystal system: monoclinic.

Quantum ESPRESSO input file:
```
&SYSTEM
  ibrav = 0, nat = 20, ntyp = 3
/
ATOMIC_SPECIES
Ac 227.00 Ac.upf
Ni 58.69 Ni.upf
Au 196.97 Au.upf
CELL_PARAMETERS angstrom
4.2798 0.0000 0.0000
0.0000 12.6970 -4.3505
0.0000 -0.9400 12.4273
ATOMIC_POSITIONS crystal
Ac 0.7500 0.4298 0.5910
Ac 0.2500 0.5702 0.4090
Ac 0.7500 0.9322 0.0898
Ac 0.2500 0.0678 0.9102
Ac 0.7500 0.3922 0.0646
Ac 0.2500 0.6078 0.9354
Ac 0.7500 0.7193 0.2492
Ac 0.2500 0.2807 0.7508
Ac 0.7500 0.1056 0.4474
Ac 0.2500 0.8944 0.5526
Ac 0.7500 0.7569 0.7441
Ac 0.2500 0.2431 0.2559
Ni 0.7500 0.4467 0.8378
Ni 0.2500 0.5533 0.1622
Ni 0.7500 0.7282 0.4911
Ni 0.2500 0.2718 0.5089
Ni 0.7500 0.1598 0.0865
Ni 0.2500 0.8402 0.9135
Au 0.7500 0.0794 0.7060
Au 0.2500 0.9206 0.2940
```


11.
This record from Alexandria describes a relaxed K3Pa2O7 crystal. The functional is PBE. Values from VASP.

Results
For the energy relative to the elements, uncorrected, the calculation gives -262.5 kJ/mol of atoms. The value obtained for the volume is 220.52 Å³/cell. As for the crystal system: orthorhombic.

Quantum ESPRESSO input file:
```
&SYSTEM
  ibrav = 0, nat = 12, ntyp = 3
/
ATOMIC_SPECIES
K 39.10 K.upf
Pa 231.04 Pa.upf
O 16.00 O.upf
CELL_PARAMETERS angstrom
4.3772 0.0000 0.0000
0.0000 4.3420 -0.8470
0.0000 0.0093 11.6011
ATOMIC_POSITIONS crystal
K 0.5000 0.5000 0.0000
K 0.5000 0.6856 0.3712
K 0.5000 0.3144 0.6288
Pa 0.0000 0.9039 0.8077
Pa 0.0000 0.0961 0.1923
O 0.0000 0.4052 0.8105
O 0.0000 0.8154 0.6307
O 0.0000 0.0000 0.0000
O 0.0000 0.5948 0.1895
O 0.5000 0.0950 0.1901
O 0.5000 0.9050 0.8099
O 0.0000 0.1846 0.3693
```